# BaVSO2 GGA+U relaxed
data_BaVSO2
_space_group_name_H-M_alt 'C m c m'
_space_group_IT_number 63
_space_group_name_Hall '-C 2c 2'
_cell_length_a 3.809
_cell_length_b 12.493
_cell_length_c 7.458
_cell_angle_alpha 90.00
_cell_angle_beta 90.00
_cell_angle_gamma 90.00
loop_
_atom_site_label
_atom_site_type_symbol
_atom_site_fract_x
_atom_site_fract_y
_atom_site_fract_z
_atom_site_occupancy
Ba1 Ba 0.000 0.229 0.250 1
V1 V 0.000 0.500 0.000 1
S1 S 0.000 0.036 0.750 1
O1 O 0.000 0.360 0.541 1
# VASP energy   -131.83 eV/cell